(1)
# Y2ZrBiI, relaxed, DFT PBEsol
data_Y2ZrBiI
_chemical_formula_sum 'Y2 Zr1 Bi1 I1'
_space_group_name_H-M_alt 'P 1'
_space_group_IT_number 1
_cell_length_a 5.453
_cell_length_b 5.795
_cell_length_c 5.795
_cell_angle_alpha 90.00
_cell_angle_beta 90.00
_cell_angle_gamma 90.00
loop_
_space_group_symop_operation_xyz
'x,y,z'
loop_
_atom_site_label
_atom_site_type_symbol
_atom_site_fract_x
_atom_site_fract_y
_atom_site_fract_z
I1 I 0.500 0.500 0.500
Y1 Y 0.000 0.000 0.500
Y2 Y 0.000 0.500 0.000
Bi1 Bi 0.000 0.000 0.000
Zr1 Zr 0.500 0.000 0.000
# - Uncorrected formation energy: 0.476 eV/atom
# - VASP energy: -26.40 eV/cell
# - SG: P4/mmm, No. 123

(2)
# ZnBiI3, relaxed, DFT PBEsol
data_ZnBiI3
_chemical_formula_sum 'Zn1 Bi1 I3'
_space_group_name_H-M_alt 'P 1'
_space_group_IT_number 1
_cell_length_a 5.402
_cell_length_b 5.402
_cell_length_c 5.402
_cell_angle_alpha 90.00
_cell_angle_beta 90.00
_cell_angle_gamma 90.00
loop_
_space_group_symop_operation_xyz
'x,y,z'
loop_
_atom_site_label
_atom_site_type_symbol
_atom_site_fract_x
_atom_site_fract_y
_atom_site_fract_z
I1 I 0.000 0.500 0.000
I2 I 0.000 0.000 0.500
I3 I 0.500 0.000 0.000
Zn1 Zn 0.000 0.000 0.000
Bi1 Bi 0.500 0.500 0.500
# - Uncorrected formation energy: 0.036 eV/atom
# - VASP energy: -10.99 eV/cell
# - SG: Pm-3m, No. 221

(3)
# Zn3BiI, relaxed, DFT PBEsol
data_Zn3BiI
_chemical_formula_sum 'Zn3 Bi1 I1'
_space_group_name_H-M_alt 'P 1'
_space_group_IT_number 1
_cell_length_a 5.208
_cell_length_b 5.208
_cell_length_c 5.208
_cell_angle_alpha 90.00
_cell_angle_beta 90.00
_cell_angle_gamma 90.00
loop_
_space_group_symop_operation_xyz
'x,y,z'
loop_
_atom_site_label
_atom_site_type_symbol
_atom_site_fract_x
_atom_site_fract_y
_atom_site_fract_z
I1 I 0.000 0.000 0.000
Zn1 Zn 0.000 0.500 0.000
Zn2 Zn 0.000 0.000 0.500
Zn3 Zn 0.500 0.000 0.000
Bi1 Bi 0.500 0.500 0.500
# - Uncorrected formation energy: 0.802 eV/atom
# - VASP energy: -6.79 eV/cell
# - SG: Pm-3m, No. 221

(4)
# Zn2Bi2I, relaxed, DFT PBEsol
data_Zn2Bi2I
_chemical_formula_sum 'Zn2 Bi2 I1'
_space_group_name_H-M_alt 'P 1'
_space_group_IT_number 1
_cell_length_a 5.186
_cell_length_b 5.186
_cell_length_c 6.355
_cell_angle_alpha 114.08
_cell_angle_beta 114.08
_cell_angle_gamma 90.00
loop_
_space_group_symop_operation_xyz
'x,y,z'
loop_
_atom_site_label
_atom_site_type_symbol
_atom_site_fract_x
_atom_site_fract_y
_atom_site_fract_z
I1 I 0.000 0.000 0.000
Zn1 Zn 0.250 0.750 0.500
Zn2 Zn 0.750 0.250 0.500
Bi1 Bi 0.356 0.356 0.711
Bi2 Bi 0.644 0.644 0.289
# - Uncorrected formation energy: 0.145 eV/atom
# - VASP energy: -12.78 eV/cell
# - SG: I4/mmm, No. 139

(5)
# ZrBiI2, relaxed, DFT PBEsol
data_ZrBiI2
_chemical_formula_sum 'Zr2 Bi2 I4'
_space_group_name_H-M_alt 'P 1'
_space_group_IT_number 1
_cell_length_a 5.736
_cell_length_b 7.662
_cell_length_c 7.662
_cell_angle_alpha 81.95
_cell_angle_beta 68.02
_cell_angle_gamma 68.02
loop_
_space_group_symop_operation_xyz
'x,y,z'
loop_
_atom_site_label
_atom_site_type_symbol
_atom_site_fract_x
_atom_site_fract_y
_atom_site_fract_z
I1 I 0.496 0.129 0.629
I2 I 0.254 0.871 0.371
I3 I 0.375 0.371 0.129
I4 I 0.875 0.629 0.871
Bi1 Bi 0.000 0.000 0.000
Bi2 Bi 0.750 0.500 0.500
Zr1 Zr 0.500 0.000 0.000
Zr2 Zr 0.250 0.500 0.500
# - Uncorrected formation energy: -0.187 eV/atom
# - VASP energy: -35.31 eV/cell
# - SG: I-42d, No. 122

(6)
# In2Bi, relaxed, DFT PBEsol
data_In2Bi
_chemical_formula_sum 'In2 Bi1'
_space_group_name_H-M_alt 'P 1'
_space_group_IT_number 1
_cell_length_a 3.217
_cell_length_b 5.457
_cell_length_c 5.457
_cell_angle_alpha 120.00
_cell_angle_beta 90.00
_cell_angle_gamma 90.00
loop_
_space_group_symop_operation_xyz
'x,y,z'
loop_
_atom_site_label
_atom_site_type_symbol
_atom_site_fract_x
_atom_site_fract_y
_atom_site_fract_z
Bi1 Bi 0.000 0.000 0.000
In1 In 0.500 0.333 0.667
In2 In 0.500 0.667 0.333
# - Formation energy: 0.04 eV/atom
# - VASP energy: -10.12 eV/cell
# - SG: P6/mmm, No. 191

(7)
# In2Bi, relaxed, DFT PBEsol
data_In2Bi
_chemical_formula_sum 'In2 Bi1'
_space_group_name_H-M_alt 'P 1'
_space_group_IT_number 1
_cell_length_a 3.196
_cell_length_b 5.478
_cell_length_c 5.478
_cell_angle_alpha 120.00
_cell_angle_beta 90.00
_cell_angle_gamma 90.00
loop_
_space_group_symop_operation_xyz
'x,y,z'
loop_
_atom_site_label
_atom_site_type_symbol
_atom_site_fract_x
_atom_site_fract_y
_atom_site_fract_z
Bi1 Bi 0.500 0.333 0.667
In1 In 0.500 0.000 0.000
In2 In 0.000 0.667 0.333
# - Formation energy: 0.02 eV/atom
# - VASP energy: -10.20 eV/cell
# - SG: P-6m2, No. 187

(8)
# In2Bi, relaxed, DFT PBEsol
data_In2Bi
_chemical_formula_sum 'In2 Bi1'
_space_group_name_H-M_alt 'P 1'
_space_group_IT_number 1
_cell_length_a 3.453
_cell_length_b 3.453
_cell_length_c 7.356
_cell_angle_alpha 104.43
_cell_angle_beta 104.43
_cell_angle_gamma 86.47
loop_
_space_group_symop_operation_xyz
'x,y,z'
loop_
_atom_site_label
_atom_site_type_symbol
_atom_site_fract_x
_atom_site_fract_y
_atom_site_fract_z
Bi1 Bi 0.000 0.000 0.000
In1 In 0.330 0.330 0.660
In2 In 0.670 0.670 0.340
# - Formation energy: 0.01 eV/atom
# - VASP energy: -10.22 eV/cell
# - SG: Fmmm, No. 69

(9)
# In2Bi, relaxed, DFT PBEsol
data_In2Bi
_chemical_formula_sum 'In4 Bi2'
_space_group_name_H-M_alt 'P 1'
_space_group_IT_number 1
_cell_length_a 5.394
_cell_length_b 5.394
_cell_length_c 6.589
_cell_angle_alpha 90.00
_cell_angle_beta 90.00
_cell_angle_gamma 120.00
loop_
_space_group_symop_operation_xyz
'x,y,z'
loop_
_atom_site_label
_atom_site_type_symbol
_atom_site_fract_x
_atom_site_fract_y
_atom_site_fract_z
Bi1 Bi 0.333 0.667 0.250
Bi2 Bi 0.667 0.333 0.750
In1 In 0.000 0.000 0.000
In2 In 0.000 0.000 0.500
In3 In 0.333 0.667 0.750
In4 In 0.667 0.333 0.250
# - Formation energy: 0.00 eV/atom
# - VASP energy: -20.48 eV/cell
# - SG: P6_3/mmc, No. 194

(10)
# In3Bi, relaxed, DFT PBEsol
data_In3Bi
_chemical_formula_sum 'In3 Bi1'
_space_group_name_H-M_alt 'P 1'
_space_group_IT_number 1
_cell_length_a 4.768
_cell_length_b 4.768
_cell_length_c 4.768
_cell_angle_alpha 90.00
_cell_angle_beta 90.00
_cell_angle_gamma 90.00
loop_
_space_group_symop_operation_xyz
'x,y,z'
loop_
_atom_site_label
_atom_site_type_symbol
_atom_site_fract_x
_atom_site_fract_y
_atom_site_fract_z
Bi1 Bi 0.000 0.000 0.000
In1 In 0.500 0.500 0.000
In2 In 0.500 0.000 0.500
In3 In 0.000 0.500 0.500
# - Formation energy: 0.01 eV/atom
# - VASP energy: -13.20 eV/cell
# - SG: Pm-3m, No. 221

(11)
# In4Bi, relaxed, DFT PBEsol
data_In4Bi
_chemical_formula_sum 'In4 Bi1'
_space_group_name_H-M_alt 'P 1'
_space_group_IT_number 1
_cell_length_a 3.406
_cell_length_b 3.406
_cell_length_c 13.345
_cell_angle_alpha 96.54
_cell_angle_beta 96.54
_cell_angle_gamma 60.34
loop_
_space_group_symop_operation_xyz
'x,y,z'
loop_
_atom_site_label
_atom_site_type_symbol
_atom_site_fract_x
_atom_site_fract_y
_atom_site_fract_z
Bi1 Bi 0.000 0.000 0.000
In1 In 0.600 0.600 0.792
In2 In 0.200 0.200 0.597
In3 In 0.800 0.800 0.403
In4 In 0.400 0.400 0.208
# - Formation energy: 0.03 eV/atom
# - VASP energy: -16.09 eV/cell
# - SG: C2/m, No. 12

(12)
# InBi3, relaxed, DFT PBEsol
data_InBi3
_chemical_formula_sum 'In1 Bi3'
_space_group_name_H-M_alt 'P 1'
_space_group_IT_number 1
_cell_length_a 3.267
_cell_length_b 4.650
_cell_length_c 8.648
_cell_angle_alpha 90.00
_cell_angle_beta 90.00
_cell_angle_gamma 110.57
loop_
_space_group_symop_operation_xyz
'x,y,z'
loop_
_atom_site_label
_atom_site_type_symbol
_atom_site_fract_x
_atom_site_fract_y
_atom_site_fract_z
Bi1 Bi 0.000 0.000 0.500
Bi2 Bi 0.000 0.500 0.239
Bi3 Bi 0.500 0.500 0.761
In1 In 0.500 0.000 0.000
# - Formation energy: 0.03 eV/atom
# - VASP energy: -15.73 eV/cell
# - SG: C222, No. 21

(13)
# InBi2Ir2, relaxed, DFT PBEsol
data_InBi2Ir2
_chemical_formula_sum 'In1 Bi2 Ir2'
_space_group_name_H-M_alt 'P 1'
_space_group_IT_number 1
_cell_length_a 4.774
_cell_length_b 4.774
_cell_length_c 6.241
_cell_angle_alpha 112.49
_cell_angle_beta 112.49
_cell_angle_gamma 90.00
loop_
_space_group_symop_operation_xyz
'x,y,z'
loop_
_atom_site_label
_atom_site_type_symbol
_atom_site_fract_x
_atom_site_fract_y
_atom_site_fract_z
Ir1 Ir 0.384 0.384 0.768
Ir2 Ir 0.616 0.616 0.232
Bi1 Bi 0.250 0.750 0.500
Bi2 Bi 0.750 0.250 0.500
In1 In 0.000 0.000 0.000
# - Formation energy: 0.46 eV/atom
# - VASP energy: -28.92 eV/cell
# - SG: I4/mmm, No. 139